Entry 1:
The following is a DFT calculation (PBE-GGA) of RbThTeSe after structural relaxation.

Properties
The calculation puts the volume at 284.93 Å³/cell. For the spin magnetization, the calculation gives 0.0 μB per formula unit. Its space group is Cm, No. 8.

The structure in extended XYZ format:
```
8
Lattice="7.503 0.000 0.000 0.000 4.337 0.000 -2.494 0.000 8.755" Properties=species:S:1:pos:R:3 pbc="T T T"
Rb 0.000 0.000 0.000
Rb 3.752 2.169 0.000
Th 0.004 0.000 4.230
Th 3.755 2.169 4.230
Te -1.245 2.169 6.184
Te 2.507 0.000 6.184
Se 1.251 2.169 2.542
Se 5.002 0.000 2.542
```


Entry 2:
The following is a DFT calculation (PBE-GGA) of Rb2TlTe2Se4 after structural relaxation.

Properties
The calculation puts the volume at 347.61 Å³/cell. For the spin magnetization, the calculation gives 0.0 μB per formula unit. Its space group is C2/m, No. 12.

The structure in extended XYZ format:
```
9
Lattice="9.350 -2.607 0.000 9.350 2.607 0.000 -0.711 0.000 7.130" Properties=species:S:1:pos:R:3 pbc="T T T"
Rb 2.357 0.000 0.463
Rb 15.632 0.000 6.667
Tl -0.355 0.000 3.565
Te 5.919 0.000 2.357
Te 12.070 0.000 4.774
Se 2.848 0.000 3.898
Se 8.328 0.000 1.358
Se 9.662 0.000 5.773
Se 15.142 0.000 3.232
```


Entry 3:
The following is a DFT calculation (PBE-GGA) of RbTlTeSe2 after structural relaxation.

Properties
The calculation puts the volume at 329.10 Å³/cell. For the spin magnetization, the calculation gives 0.0 μB per formula unit. Its space group is P2/c, No. 13.

The structure in extended XYZ format:
```
10
Lattice="7.790 0.000 0.000 0.000 6.856 0.000 -2.937 0.000 6.162" Properties=species:S:1:pos:R:3 pbc="T T T"
Rb -0.734 1.581 1.540
Rb -2.203 5.275 4.621
Tl 3.161 3.342 1.540
Tl 1.692 3.515 4.621
Te 3.895 0.000 0.000
Te 2.426 0.000 3.081
Se -0.968 1.841 5.059
Se 0.501 5.015 1.978
Se 4.352 1.841 4.184
Se 5.821 5.015 1.103
```


Entry 4:
The following is a DFT calculation (PBE-GGA) of RbTlTeSe3 after structural relaxation.

Properties
The calculation puts the volume at 433.34 Å³/cell. For the spin magnetization, the calculation gives 0.0 μB per formula unit. Its space group is C2/c, No. 15.

The structure in extended XYZ format:
```
12
Lattice="3.816 -7.826 0.000 3.816 7.826 0.000 -1.919 0.000 7.255" Properties=species:S:1:pos:R:3 pbc="T T T"
Rb 2.376 3.987 5.441
Rb 3.336 -3.987 1.814
Tl 3.336 1.236 1.814
Tl 2.376 -1.236 5.441
Te 3.336 6.990 1.814
Te 2.376 -6.990 5.441
Se 0.818 0.869 3.760
Se 3.336 4.414 1.814
Se 1.778 -0.869 0.132
Se 3.935 0.869 7.123
Se 2.376 -4.414 5.441
Se 4.895 -0.869 3.495
```


Entry 5:
The following is a DFT calculation (PBE-GGA) of RbTlTe2Se4 after structural relaxation.

Properties
The calculation puts the volume at 540.94 Å³/cell. For the spin magnetization, the calculation gives 0.0 μB per formula unit. Its space group is I222, No. 23.

The structure in extended XYZ format:
```
16
Lattice="7.632 0.000 0.000 0.000 7.642 0.000 0.000 0.000 9.275" Properties=species:S:1:pos:R:3 pbc="T T T"
Rb 0.000 0.000 0.000
Rb 3.816 3.821 4.638
Tl 0.000 0.000 4.638
Tl 3.816 3.821 0.000
Te 0.000 3.821 2.324
Te 0.000 3.821 6.951
Te 3.816 0.000 2.313
Te 3.816 0.000 6.962
Se 1.604 1.603 6.242
Se 1.604 6.039 3.033
Se 2.212 2.218 1.605
Se 2.212 5.424 7.671
Se 5.420 2.218 7.671
Se 5.420 5.424 1.605
Se 6.028 1.603 3.033
Se 6.028 6.039 6.242
```


Entry 6:
The following is a DFT calculation (PBE-GGA) of Rb2TlTeSe4 after structural relaxation.

Properties
The calculation puts the volume at 526.53 Å³/cell. For the spin magnetization, the calculation gives 0.0 μB per formula unit. Its space group is Imma, No. 74.

The structure in extended XYZ format:
```
16
Lattice="-4.362 4.660 6.476 4.362 -4.660 6.476 4.362 4.660 -6.476" Properties=species:S:1:pos:R:3 pbc="T T T"
Rb 0.000 0.000 0.000
Rb -2.181 2.330 3.238
Rb 0.000 4.660 0.000
Rb 2.181 2.330 3.238
Tl 4.362 0.000 0.000
Tl 0.000 0.000 6.476
Te 2.181 2.330 -3.238
Te 2.181 -2.330 3.238
Se 4.362 -0.420 3.195
Se 4.362 4.240 -3.195
Se 2.408 2.330 -0.374
Se 6.316 2.330 -0.374
Se -1.954 2.330 6.850
Se 1.954 2.330 6.850
Se 0.000 0.420 9.671
Se 0.000 5.079 3.281
```


Entry 7:
The following is a DFT calculation (PBE-GGA) of RbTmTeSe after structural relaxation.

Properties
The calculation puts the volume at 405.86 Å³/cell. For the spin magnetization, the calculation gives 0.0 μB per formula unit. Its space group is R3m, No. 160.

The structure in extended XYZ format:
```
12
Lattice="4.307 0.000 0.000 -2.154 3.730 0.000 0.000 0.000 25.258" Properties=species:S:1:pos:R:3 pbc="T T T"
Rb 0.000 0.000 0.000
Rb 0.000 2.487 16.839
Rb 2.154 1.243 8.419
Tm 0.000 0.000 4.035
Tm 0.000 2.487 20.874
Tm 2.154 1.243 12.455
Te 0.000 0.000 14.234
Te 0.000 2.487 5.815
Te 2.154 1.243 22.653
Se 0.000 0.000 19.389
Se 0.000 2.487 10.969
Se 2.154 1.243 2.550
```


Entry 8:
The following is a DFT calculation (PBE-GGA) of Rb2UTeSe6 after structural relaxation.

Properties
The calculation puts the volume at 345.35 Å³/cell. For the spin magnetization, the calculation gives 0.0 μB per formula unit. Its space group is C2/m, No. 12.

The structure in extended XYZ format:
```
10
Lattice="7.608 -3.543 0.000 7.608 3.543 0.000 -0.819 0.000 6.406" Properties=species:S:1:pos:R:3 pbc="T T T"
Rb 2.986 0.000 1.511
Rb 11.412 0.000 4.895
U 7.608 0.000 0.000
Te -0.410 0.000 3.203
Se 6.086 1.826 1.345
Se 8.312 1.826 5.062
Se 4.846 0.000 4.673
Se 9.551 0.000 1.733
Se 6.086 -1.826 1.345
Se 8.312 -1.826 5.062
```


Number 1: DFT total energy -5.06 eV/atom. Number 2: DFT total energy -3.22 eV/atom. Number 3: DFT total energy -3.15 eV/atom. Number 4: DFT total energy -3.24 eV/atom. Number 5: DFT total energy -3.25 eV/atom. Number 6: DFT total energy -3.15 eV/atom. Number 7: DFT total energy -4.52 eV/atom. Number 8: DFT total energy -4.40 eV/atom.